Material: La2MgO
Method: DFT, PBE
State: optimized geometry

```
La2MgO
1.0
-2.568 -2.167 1.360
0.931 -2.951 1.887
-0.609 3.525 9.296
Mg O La
1 1 2
direct
0.000 0.000 0.000
0.500 0.500 0.500
0.118 0.118 0.646
0.882 0.882 0.354
```

Properties
- N(E_F) (states/eV per cell) = 4.28
- energy relative to the elements, uncorrected (eV per atom) = -1.114

---

Material: Ac2ErZn
Method: DFT, PBE
State: optimized geometry

```
Ac2ErZn
1.0
3.918 0.000 0.000
0.000 5.856 0.000
0.000 0.000 5.856
Ac Zn Er
2 1 1
direct
0.000 0.000 0.500
0.000 0.500 0.000
0.500 0.000 0.000
0.500 0.500 0.500
```

Properties
- N(E_F) (states/eV per cell) = 4.20

---

Material: MgSi2PbS6
Method: DFT, PBE
State: optimized geometry

```
MgSi2PbS6
1.0
-3.972 4.753 0.113
-3.568 -1.727 7.763
5.366 5.838 3.618
Mg Si Pb S
2 4 2 12
direct
0.250 0.305 0.695
0.750 0.695 0.305
0.236 0.784 0.620
0.264 0.380 0.216
0.764 0.216 0.380
0.736 0.620 0.784
0.250 0.897 0.103
0.750 0.103 0.897
0.199 0.977 0.776
0.301 0.224 0.023
0.801 0.023 0.224
0.699 0.776 0.977
0.396 0.843 0.408
0.104 0.592 0.157
0.604 0.157 0.592
0.896 0.408 0.843
0.913 0.716 0.581
0.587 0.419 0.284
0.087 0.284 0.419
0.413 0.581 0.716
```

Properties
- N(E_F) (states/eV per cell) = 0.00
- energy relative to the elements, uncorrected (eV per atom) = -0.691

---

Material: Y2CrFe
Method: DFT, PBE
State: optimized geometry

```
Y2CrFe
1.0
5.686 0.000 0.000
2.569 5.073 0.000
-4.128 -2.536 2.978
Cr Fe Y
1 1 2
direct
0.500 0.500 0.000
0.750 0.250 0.500
0.000 0.000 0.000
0.250 0.750 0.500
```

Properties
- N(E_F) (states/eV per cell) = 5.27

---

Material: KRu2
Method: DFT, PBE
State: optimized geometry

```
KRu2
1.0
4.991 0.000 0.000
-2.496 4.322 0.000
0.000 0.000 2.538
K Ru
1 2
direct
0.000 0.000 0.000
0.667 0.333 0.500
0.333 0.667 0.500
```

Properties
- N(E_F) (states/eV per cell) = 4.39

---

Material: SrRe2Ru
Method: DFT, PBE
State: optimized geometry

```
SrRe2Ru
1.0
-0.088 4.685 3.742
-4.843 3.390 1.008
3.009 -5.186 0.141
Re Ru Sr
2 1 1
direct
0.963 0.963 0.000
0.537 0.537 0.000
0.750 0.250 0.500
0.250 0.750 0.500
```

Properties
- N(E_F) (states/eV per cell) = 3.16

---

Material: Na2GeAu
Method: DFT, PBE
State: optimized geometry

```
Na2GeAu
1.0
-0.629 -0.479 -4.722
-2.153 -3.496 0.642
-3.512 2.208 0.244
Na Ge Au
2 1 1
direct
0.000 0.000 0.500
0.000 0.500 0.000
0.500 0.500 0.500
0.500 0.000 0.000
```

Properties
- N(E_F) (states/eV per cell) = 1.59

---

Material: TaAlPb2
Method: DFT, PBE
State: optimized geometry

```
TaAlPb2
1.0
5.785 -0.014 0.000
2.618 5.158 0.000
-4.202 -2.572 3.033
Pb Al Ta
2 1 1
direct
0.000 0.000 0.000
0.250 0.750 0.500
0.750 0.250 0.500
0.500 0.500 0.000
```

Properties
- N(E_F) (states/eV per cell) = 1.76

---

Material: In5I4Br
Method: DFT, PBE
State: optimized geometry

```
In5I4Br
1.0
6.977 0.000 0.000
3.489 7.765 0.000
3.489 0.000 7.765
In I Br
5 4 1
direct
0.904 0.386 0.807
0.290 0.807 0.614
0.710 0.193 0.386
0.096 0.614 0.193
0.492 0.000 0.000
0.405 0.397 0.790
0.802 0.790 0.603
0.195 0.210 0.397
0.592 0.603 0.210
0.025 0.000 0.000
```

Properties
- energy relative to the elements, uncorrected (eV per atom) = -0.489

---

Material: Na2TaV
Method: DFT, PBE
State: optimized geometry

```
Na2TaV
1.0
8.283 0.000 0.000
0.000 8.283 0.000
4.141 4.141 2.485
Na Ta V
4 2 2
direct
0.606 0.125 0.250
0.144 0.625 0.250
0.375 0.394 0.750
0.875 0.856 0.750
0.000 0.000 0.000
0.750 0.250 0.500
0.500 0.500 0.000
0.250 0.750 0.500
```

Properties
- N(E_F) (states/eV per cell) = 6.62

---

Material: ScVCo
Method: DFT, PBE
State: optimized geometry

```
ScVCo
1.0
4.360 0.000 2.448
1.605 4.138 2.249
0.074 -0.047 4.974
Sc V Co
2 2 2
direct
0.869 0.381 0.381
0.131 0.619 0.619
0.000 0.000 0.000
0.500 0.000 0.000
0.500 0.500 0.000
0.500 0.000 0.500
```

Properties
- N(E_F) (states/eV per cell) = 6.62

---

Material: AlOF
Method: DFT, PBE
State: optimized geometry

```
AlOF
1.0
-2.669 0.052 2.874
2.417 -3.073 0.323
3.144 4.173 1.156
Al O F
1 1 1
direct
0.000 0.000 0.001
0.166 0.166 0.332
0.833 0.833 0.667
```

Properties
- energy relative to the elements, uncorrected (eV per atom) = -1.250

---

Number 1: volume 27.699 Å³/atom, total magnetic moment 0.00 μB/f.u., total energy -5.216 eV/atom. Number 2: volume 33.587 Å³/atom, total magnetic moment 0.00 μB/f.u., total energy -3.523 eV/atom. Number 3: volume 23.141 Å³/atom, total magnetic moment 0.00 μB/f.u., total energy -4.782 eV/atom. Number 4: volume 21.475 Å³/atom, total magnetic moment 5.13 μB/f.u., total energy -7.300 eV/atom. Number 5: volume 18.254 Å³/atom, total magnetic moment 0.00 μB/f.u., total energy -5.186 eV/atom. Number 6: volume 18.179 Å³/atom, total magnetic moment 0.00 μB/f.u., total energy -8.217 eV/atom. Number 7: volume 20.672 Å³/atom, total magnetic moment 0.00 μB/f.u., total energy -2.741 eV/atom. Number 8: volume 22.652 Å³/atom, total magnetic moment 0.00 μB/f.u., total energy -5.151 eV/atom. Number 9: volume 42.070 Å³/atom, total magnetic moment 0.00 μB/f.u., total energy -2.646 eV/atom. Number 10: volume 21.313 Å³/atom, total magnetic moment 0.66 μB/f.u., total energy -4.433 eV/atom. Number 11: volume 14.878 Å³/atom, total magnetic moment 0.00 μB/f.u., total energy -7.728 eV/atom. Number 12: volume 23.251 Å³/atom, total magnetic moment 0.00 μB/f.u., total energy -4.774 eV/atom.